# 1
## CsInNi (PBE)

Data for CsInNi after structural relaxation.

abc: 8.3634 8.3634 8.3634
angles: 90.00 90.00 90.00
Space group F-43m (No. 216)
Inequivalent atoms, fractional coordinates:
Cs (0.0000, 0.0000, 0.0000)
In (0.2500, 0.2500, 0.7500)
Ni (0.2500, 0.2500, 0.2500)

Calculated values
Energy above the most stable polymorph in this dataset in meV per atom: 587.2
Crystal system: cubic

***

# 2
## ZrUAu (PBE)

Data for ZrUAu after structural relaxation.

abc: 6.5511 6.5511 6.5511
angles: 90.00 90.00 90.00
Space group F-43m (No. 216)
Inequivalent atoms, fractional coordinates:
Zr (0.0000, 0.0000, 0.0000)
U (0.2500, 0.2500, 0.2500)
Au (0.2500, 0.2500, 0.7500)

Calculated values
Energy above the most stable polymorph in this dataset in meV per atom: 0.0
Crystal system: cubic
DFT formation energy in meV/atom: 624

***

# 3
## SmGeAu (PBE)

Data for SmGeAu after structural relaxation.

abc: 7.2818 7.2818 4.2408
angles: 90.00 90.00 120.00
Space group P-62m (No. 189)
Inequivalent atoms, fractional coordinates:
Sm (0.0000, 0.5900, 0.0000)
Ge (0.0000, 0.0000, 0.0000)
Ge (0.3333, 0.6667, 0.5000)
Au (0.0000, 0.2612, 0.5000)

Calculated values
Crystal system: hexagonal

***

# 4
## HoScCu6 (PBE)

Data for HoScCu6 after structural relaxation.

abc: 4.4672 5.6596 4.7872
angles: 90.00 90.00 90.00
Space group Pmm2 (No. 25)
Inequivalent atoms, fractional coordinates:
Ho (0.0000, 0.0000, 0.0000)
Sc (0.5000, 0.5000, 0.2975)
Cu (0.0000, 0.2694, 0.4962)
Cu (0.0000, 0.5000, 0.9625)
Cu (0.5000, 0.0000, 0.3808)
Cu (0.5000, 0.2694, 0.8004)

Calculated values
Crystal system: orthorhombic
DFT formation energy in meV/atom: -184

***

# 5
## HfFeTc2 (PBE)

Data for HfFeTc2 after structural relaxation.

abc: 6.2370 6.2370 6.2370
angles: 90.00 90.00 90.00
Space group F-43m (No. 216)
Inequivalent atoms, fractional coordinates:
Hf (0.0000, 0.0000, 0.0000)
Fe (0.2500, 0.2500, 0.7500)
Tc (0.0000, 0.0000, 0.5000)
Tc (0.2500, 0.2500, 0.2500)

Calculated values
Crystal system: cubic
DFT formation energy in meV/atom: -112

***

# 6
## HoNb2Si2Sb (PBE)

Data for HoNb2Si2Sb after structural relaxation.

abc: 4.0064 4.0064 7.7744
angles: 90.00 90.00 90.00
Space group P4mm (No. 99)
Inequivalent atoms, fractional coordinates:
Ho (0.0000, 0.0000, 0.0000)
Nb (0.0000, 0.5000, 0.3565)
Si (0.0000, 0.0000, 0.6070)
Si (0.5000, 0.5000, 0.1218)
Sb (0.5000, 0.5000, 0.6618)

Calculated values
Crystal system: tetragonal

***

It is found that the final energy values, taken in the order of the records, are -1.835 -7.079 -5.011 -4.335 -9.858 -6.921 eV/atom.
It is found that the ρ values, taken in the order of the records, are 3.48 12.43 10.74 8.11 11.78 7.03 g/cm3.